[1]
Below is crystalline Mn2Cd at its relaxed geometry, with properties calculated at the GGA-PBE level.

Output
The value obtained for the final energy is -6.0111 eV per atom. For the density of states at the Fermi level, the calculation gives 2.033 states/eV/f.u.

a = 2.8740 Å, b = 2.8740 Å, c = 6.8809 Å
α = 90.00°, β = 90.00°, γ = 120.00°
Fractional coordinates of all 3 atoms:
1 Cd 0.0000 0.0000 0.0000
2 Mn 0.6667 0.3333 0.6499
3 Mn 0.3333 0.6667 0.3501

[2]
Below is crystalline NaLa2TlBi at its relaxed geometry, with properties calculated at the GGA-PBE level.

Output
The value obtained for the final energy is -3.3124 eV per atom. For the density of states at the Fermi level, the calculation gives 6.577 states/eV/f.u.

a = 6.2000 Å, b = 6.1344 Å, c = 6.2000 Å
α = 90.00°, β = 90.00°, γ = 90.00°
Fractional coordinates of all 5 atoms:
1 Na 0.5000 0.5000 0.5000
2 La 0.0000 0.0000 0.5000
3 La 0.5000 0.0000 0.0000
4 Bi 0.0000 0.0000 0.0000
5 Tl 0.0000 0.5000 0.0000

[3]
Below is crystalline Ba3IBr5 at its relaxed geometry, with properties calculated at the GGA-PBE level.

Output
Its raw formation energy is -2.04 eV/atom. For the density of states at the Fermi level, the calculation gives 0.000 states/eV/f.u.

a = 5.0993 Å, b = 9.1013 Å, c = 17.2002 Å
α = 90.00°, β = 90.00°, γ = 106.27°
Fractional coordinates of all 18 atoms:
1 Br 0.0000 0.0000 0.5000
2 Br 0.2006 0.4011 0.5675
3 Br 0.7994 0.5989 0.4325
4 Br 0.5381 0.0763 0.6469
5 Br 0.7994 0.5989 0.0675
6 Br 0.5381 0.0763 0.8531
7 Br 0.4619 0.9237 0.1469
8 Br 0.0000 0.0000 0.0000
9 Br 0.4619 0.9237 0.3531
10 Br 0.2006 0.4011 0.9325
11 I 0.7738 0.5476 0.7500
12 I 0.2262 0.4524 0.2500
13 Ba 0.3810 0.7621 0.5264
14 Ba 0.3810 0.7621 0.9736
15 Ba 0.6190 0.2379 0.0264
16 Ba 0.6190 0.2379 0.4736
17 Ba 0.1281 0.2563 0.7500
18 Ba 0.8719 0.7437 0.2500

[4]
Below is crystalline Pm3Sn2Ir at its relaxed geometry, with properties calculated at the GGA-PBE level.

Output
For the offset from the most stable computed form, the calculation gives 0.152 eV per atom. For the density of states at the Fermi level, the calculation gives 4.241 states/eV/f.u.

a = 6.2360 Å, b = 8.3151 Å, c = 7.4558 Å
α = 106.00°, β = 114.72°, γ = 90.00°
Fractional coordinates of all 12 atoms:
1 Pm 0.7188 0.3656 0.6673
2 Pm 0.0515 0.1344 0.3327
3 Pm 0.9485 0.8656 0.6673
4 Pm 0.6874 0.7500 0.0000
5 Pm 0.3126 0.2500 0.0000
6 Pm 0.2812 0.6344 0.3327
7 Sn 0.4787 0.9946 0.6976
8 Sn 0.7812 0.5054 0.3024
9 Sn 0.5213 0.0054 0.3024
10 Sn 0.2188 0.4946 0.6976
11 Ir 0.8432 0.2500 0.0000
12 Ir 0.1568 0.7500 0.0000

What did the second record say?
Below is crystalline NaLa2TlBi at its relaxed geometry, with properties calculated at the GGA-PBE level.

Output
The value obtained for the final energy is -3.3124 eV per atom. For the density of states at the Fermi level, the calculation gives 6.577 states/eV/f.u.

a = 6.2000 Å, b = 6.1344 Å, c = 6.2000 Å
α = 90.00°, β = 90.00°, γ = 90.00°
Fractional coordinates of all 5 atoms:
1 Na 0.5000 0.5000 0.5000
2 La 0.0000 0.0000 0.5000
3 La 0.5000 0.0000 0.0000
4 Bi 0.0000 0.0000 0.0000
5 Tl 0.0000 0.5000 0.0000